## AlAgAsSe2 (PBE-GGA)

Data for a geometry-optimized AlAgAsSe2 structure.

Lattice parameters (Å, degrees): 5.178 5.178 4.936 90.00 90.00 90.00
Fractional coordinates of all 5 atoms:
Al1 0.000 0.000 0.000
Ag1 0.500 0.500 0.500
As1 0.500 0.500 0.000
Se1 0.000 0.500 0.500
Se2 0.500 0.000 0.500

The density of states at the Fermi level is 1.14 states/eV per atom. As for the formation energy without anion corrections: 3.65 eV per formula unit. Its volume is 26.47 Å³ per atom. The magnetic moment comes out at 0.086 μB per atom. The value obtained for the polymorph energy (0 for the lowest one) is 395 meV/atom. Its space-group type is P4/mmm (123).